Compound: ErThGeTe
Source: the Alexandria database
Functional: PBE-GGA
Structure: optimized geometry

Its density of states at the Fermi level is 0.493 states/eV per atom. The calculation puts the uncorrected formation energy at -4.32 eV/f.u.

It has space group R3m (No. 160, hexagonal axes), with a = 4.2936 Å, b = 4.2936 Å, c = 21.4412 Å, α = 90.00°, β = 90.00° and γ = 120.00°. The distinct sites, in fractional coordinates, are Er at (0.0000, 0.0000, 0.0000), Th at (0.0000, 0.0000, 0.5214), Ge at (0.0000, 0.0000, 0.2640) and Te at (0.0000, 0.0000, 0.7567).

Compound: Er3Tl4GeTe8
Source: the Alexandria database
Functional: PBE-GGA
Structure: optimized geometry

Its density of states at the Fermi level is 0.597 states/eV per atom. The calculation puts the uncorrected formation energy at -12.81 eV/f.u.

It has space group R-3m (No. 166, hexagonal axes), with a = 8.8538 Å, b = 8.8538 Å, c = 23.9042 Å, α = 90.00°, β = 90.00° and γ = 120.00°. The distinct sites, in fractional coordinates, are Er at (0.0000, 0.5000, 0.0000), Tl at (0.0000, 0.0000, 0.5000), Tl at (0.0000, 0.5000, 0.5000), Ge at (0.0000, 0.0000, 0.0000), Te at (0.0000, 0.0000, 0.2615) and Te at (0.0037, 0.5019, 0.7363).

Compound: ErTlGeTe3
Source: the Alexandria database
Functional: PBE-GGA
Structure: optimized geometry

The calculation puts the uncorrected formation energy at -4.20 eV/f.u.

It has space group P2_1/m (No. 11), with a = 8.943 Å, b = 4.255 Å, c = 11.542 Å, α = 90.00°, β = 107.65° and γ = 90.00°. The distinct sites, in fractional coordinates, are Er at (0.139, 0.250, 0.159), Tl at (0.258, 0.750, 0.715), Ge at (0.378, 0.750, 0.446), Te at (0.119, 0.250, 0.891), Te at (0.161, 0.250, 0.432) and Te at (0.399, 0.750, 0.216).

Compound: Er8TlGe3Te4
Source: the Alexandria database
Functional: PBE-GGA
Structure: optimized geometry

Its density of states at the Fermi level is 0.344 states/eV per atom. The calculation puts the uncorrected formation energy at -16.52 eV/f.u.

It has space group R-3m (No. 166, hexagonal axes), with a = 8.4555 Å, b = 8.4555 Å, c = 21.3224 Å, α = 90.00°, β = 90.00° and γ = 120.00°. The distinct sites, in fractional coordinates, are Er at (0.0000, 0.0000, 0.2385), Er at (0.0108, 0.5054, 0.7574), Tl at (0.0000, 0.0000, 0.5000), Ge at (0.0000, 0.5000, 0.5000), Te at (0.0000, 0.0000, 0.0000) and Te at (0.0000, 0.5000, 0.0000).

Compound: YErGeTe
Source: the Alexandria database
Functional: PBE-GGA
Structure: optimized geometry

Its density of states at the Fermi level is 0.146 states/eV per atom. The calculation puts the uncorrected formation energy at -4.48 eV/f.u.

It has space group R3m (No. 160, hexagonal axes), with a = 4.2107 Å, b = 4.2107 Å, c = 21.6684 Å, α = 90.00°, β = 90.00° and γ = 120.00°. The distinct sites, in fractional coordinates, are Y at (0.0000, 0.0000, 0.0000), Er at (0.0000, 0.0000, 0.8098), Ge at (0.0000, 0.0000, 0.4074) and Te at (0.0000, 0.0000, 0.2361).

Compound: Er8ZnGe3Te4
Source: the Alexandria database
Functional: PBE-GGA
Structure: optimized geometry

Its density of states at the Fermi level is 0.432 states/eV per atom. The calculation puts the uncorrected formation energy at -16.48 eV/f.u.

It has space group R-3m (No. 166, hexagonal axes), with a = 8.3792 Å, b = 8.3792 Å, c = 21.1926 Å, α = 90.00°, β = 90.00° and γ = 120.00°. The distinct sites, in fractional coordinates, are Er at (0.0000, 0.0000, 0.2388), Er at (0.0066, 0.5033, 0.7583), Zn at (0.0000, 0.0000, 0.5000), Ge at (0.0000, 0.5000, 0.5000), Te at (0.0000, 0.0000, 0.0000) and Te at (0.0000, 0.5000, 0.0000).

Compound: Er2ThGe2
Source: the Alexandria database
Functional: PBE-GGA
Structure: optimized geometry

Its density of states at the Fermi level is 0.830 states/eV per atom. As for the formation enthalpy at 0 K: -0.41 eV/atom.

It has space group C2/c (No. 15), with a = 9.968 Å, b = 11.216 Å, c = 5.922 Å, α = 90.00°, β = 122.71° and γ = 90.00°. The distinct sites, in fractional coordinates, are Er at (0.175, 0.106, 0.484), Th at (0.000, 0.379, 0.750), Ge at (0.000, 0.113, 0.750) and Ge at (0.000, 0.337, 0.250).

Compound: ErTh3Ge4
Source: the Alexandria database
Functional: PBE-GGA
Structure: optimized geometry

Its density of states at the Fermi level is 0.609 states/eV per atom. As for the formation enthalpy at 0 K: -0.74 eV/atom.

It has space group P2/c (No. 13), with a = 7.368 Å, b = 8.485 Å, c = 7.406 Å, α = 90.00°, β = 109.37° and γ = 90.00°. The distinct sites, in fractional coordinates, are Er at (0.000, 0.125, 0.250), Th at (0.000, 0.373, 0.750), Th at (0.500, 0.124, 0.750), Th at (0.500, 0.373, 0.250), Ge at (0.244, 0.121, 0.000) and Ge at (0.247, 0.373, 0.497).

Compound: ErTh5Ge6
Source: the Alexandria database
Functional: PBE-GGA
Structure: optimized geometry

Its density of states at the Fermi level is 0.524 states/eV per atom. As for the formation enthalpy at 0 K: -0.75 eV/atom.

It has space group C2/m (No. 12), with a = 7.405 Å, b = 12.819 Å, c = 7.400 Å, α = 90.00°, β = 109.49° and γ = 90.00°. The distinct sites, in fractional coordinates, are Er at (0.000, 0.000, 0.000), Th at (0.000, 0.168, 0.500), Th at (0.000, 0.334, 0.000), Th at (0.000, 0.500, 0.500), Ge at (0.246, 0.000, 0.752) and Ge at (0.247, 0.165, 0.247).

Compound: ErThZnGe
Source: the Alexandria database
Functional: PBE-GGA
Structure: optimized geometry

Its density of states at the Fermi level is 0.881 states/eV per atom. As for the formation enthalpy at 0 K: -0.42 eV/atom.

It has space group F-43m (No. 216), with a = 7.217 Å, b = 7.217 Å, c = 7.217 Å, α = 90.00°, β = 90.00° and γ = 90.00°. The distinct sites, in fractional coordinates, are Er at (0.000, 0.000, 0.000), Th at (0.000, 0.000, 0.500), Zn at (0.250, 0.250, 0.250) and Ge at (0.250, 0.250, 0.750).

Compound: Er2TiGe2
Source: the Alexandria database
Functional: PBE-GGA
Structure: optimized geometry

Its density of states at the Fermi level is 1.027 states/eV per atom. As for the formation enthalpy at 0 K: -0.57 eV/atom.

It has space group Cmc2_1 (No. 36), with a = 4.152 Å, b = 15.561 Å, c = 7.319 Å, α = 90.00°, β = 90.00° and γ = 90.00°. The distinct sites, in fractional coordinates, are Er at (0.000, 0.033, 0.000), Er at (0.000, 0.204, 0.358), Ti at (0.000, 0.403, 0.150), Ge at (0.000, 0.177, 0.755) and Ge at (0.000, 0.437, 0.795).

Compound: Er2TiGe3
Source: the Alexandria database
Functional: PBE-GGA
Structure: optimized geometry

Its density of states at the Fermi level is 0.629 states/eV per atom. As for the formation enthalpy at 0 K: -0.65 eV/atom.

It has space group Cmcm (No. 63), with a = 12.704 Å, b = 7.330 Å, c = 5.642 Å, α = 90.00°, β = 90.00° and γ = 90.00°. The distinct sites, in fractional coordinates, are Er at (0.175, 0.159, 0.250), Ti at (0.000, 0.315, 0.750), Ge at (0.000, 0.000, 0.000) and Ge at (0.145, 0.500, 0.000).

| no. | M_tot (μB per formula unit) |
| --- | --- |
| 1 | 0.000 |
| 2 | 0.000 |
| 3 | 0.000 |
| 4 | 0.000 |
| 5 | 0.000 |
| 6 | 0.000 |
| 7 | 0.000 |
| 8 | 0.000 |
| 9 | 0.000 |
| 10 | 0.000 |
| 11 | 0.858 |
| 12 | 0.000 |